Record 1
Here is a relaxed La4YAg5 crystal from Alexandria. Energies are from GGA-PBE. Values from VASP.

The structure in Quantum ESPRESSO input format:
```
&SYSTEM
  ibrav = 0, nat = 10, ntyp = 3
/
ATOMIC_SPECIES
Ag 107.87 Ag.upf
Y 88.91 Y.upf
La 138.91 La.upf
CELL_PARAMETERS angstrom
3.7447 0.0000 0.0000
0.0000 3.7447 0.0000
0.0000 0.0000 19.3690
ATOMIC_POSITIONS angstrom
Ag 1.8723 1.8723 9.6845
Ag 1.8723 1.8723 17.6689
Ag 1.8723 1.8723 5.7406
Ag 1.8723 1.8723 13.6284
Ag 1.8723 1.8723 1.7000
Y 0.0000 0.0000 0.0000
La 0.0000 0.0000 3.7590
La 0.0000 0.0000 7.7129
La 0.0000 0.0000 15.6099
La 0.0000 0.0000 11.6561
```

Summary:
Its mass density is 7.24 g cm⁻³. Its formation energy is -270 meV/atom. As for the space-group type: No. 123. The density of states at the Fermi level is 8.5 states/eV per cell.

Record 2
Here is a relaxed LaY2Ag crystal from Alexandria. Energies are from GGA-PBE. Values from VASP.

The structure in Quantum ESPRESSO input format:
```
&SYSTEM
  ibrav = 0, nat = 4, ntyp = 3
/
ATOMIC_SPECIES
La 138.91 La.upf
Ag 107.87 Ag.upf
Y 88.91 Y.upf
CELL_PARAMETERS angstrom
-0.4052 0.8671 3.5384
-2.1518 -2.9296 0.4718
7.0553 -4.8602 1.9991
ATOMIC_POSITIONS angstrom
La 4.0130 -4.6764 3.5044
Ag 0.4853 -2.2463 2.5049
Y 0.3292 -0.2268 0.0933
Y 3.1984 -2.2033 0.9063
```

Summary:
Its mass density is 5.96 g cm⁻³. Its formation energy is -131 meV/atom. As for the space-group type: No. 123. The density of states at the Fermi level is 6.1 states/eV per cell.

Record 3
Here is a relaxed LaY3Ag2 crystal from Alexandria. Energies are from GGA-PBE. Values from VASP.

The structure in Quantum ESPRESSO input format:
```
&SYSTEM
  ibrav = 0, nat = 6, ntyp = 3
/
ATOMIC_SPECIES
Ag 107.87 Ag.upf
Y 88.91 Y.upf
La 138.91 La.upf
CELL_PARAMETERS angstrom
-1.0896 -2.5156 2.4107
3.0322 -1.9288 -0.6422
5.8944 6.2188 9.1539
ATOMIC_POSITIONS angstrom
Ag 1.8360 -1.3099 2.2270
Ag 6.0011 3.0843 8.6953
Y 1.7021 1.7957 2.6433
Y 4.1923 4.4231 6.5106
Y 0.0000 0.0000 0.0000
La 3.9185 0.8872 5.4612
```

Summary:
Its mass density is 6.17 g cm⁻³. Its formation energy is -202 meV/atom. As for the space-group type: No. 123. The density of states at the Fermi level is 6.6 states/eV per cell.

What is the formula in the third record?
LaY3Ag2

The highest mass density belongs to which entry?
La4YAg5

Among the records above, which one has the highest mass density?
La4YAg5

Which value of mass density does entry 1 give?
7.24 g cm⁻³